! CaTl2CdSb2, relaxed, DFT PBE; values from VASP
! Final energy: -18.044 eV per formula unit
! Magnetic moment: 0.00 μB/f.u.
! Mass density: 7.12 Mg/m³
! Space-group type: Pmc2_1
&SYSTEM
  ibrav = 0, nat = 12, ntyp = 4
/
ATOMIC_SPECIES
Ca 40.08 Ca.upf
Tl 204.38 Tl.upf
Cd 112.41 Cd.upf
Sb 121.76 Sb.upf
CELL_PARAMETERS angstrom
4.786 0.000 0.000
0.000 10.223 0.000
0.000 0.000 7.677
ATOMIC_POSITIONS crystal
Ca 0.000 0.045 0.000
Ca 0.000 0.955 0.500
Tl 0.000 0.344 0.356
Tl 0.000 0.656 0.856
Tl 0.500 0.396 0.037
Tl 0.500 0.604 0.537
Cd 0.500 0.165 0.665
Cd 0.500 0.835 0.165
Sb 0.000 0.308 0.768
Sb 0.000 0.692 0.268
Sb 0.500 0.113 0.278
Sb 0.500 0.887 0.778